Entry 1:
A plane-wave DFT calculation with GGA-PBE was carried out for a relaxed ScCu2Ru crystal.

Lattice parameters (Å, degrees): 3.650 3.650 18.909 90.00 90.00 90.00
Sites, in units of the cell vectors:
Sc1 0.000 0.000 0.000
Sc2 0.000 0.500 0.250
Sc3 0.500 0.000 0.750
Sc4 0.500 0.500 0.500
Cu1 0.229 0.250 0.625
Cu2 0.250 0.729 0.875
Cu3 0.250 0.771 0.375
Cu4 0.271 0.250 0.125
Cu5 0.729 0.750 0.125
Cu6 0.750 0.229 0.375
Cu7 0.750 0.271 0.875
Cu8 0.771 0.750 0.625
Ru1 0.000 0.000 0.500
Ru2 0.000 0.500 0.750
Ru3 0.500 0.000 0.250
Ru4 0.500 0.500 0.000

Results
offset from the most stable computed form: 0.379 eV/atom
D(E_F): 0.499 states/eV per atom
final energy: -5.773 eV/atom
energy of formation: 0.177 eV/atom

Entry 2:
A plane-wave DFT calculation with GGA-PBE was carried out for a relaxed Eu2CdH crystal.

Lattice parameters (Å, degrees): 3.662 3.662 28.593 90.00 90.00 120.00
Sites, in units of the cell vectors:
Eu1 0.000 0.000 0.116
Eu2 0.000 0.000 0.884
Eu3 0.333 0.667 0.551
Eu4 0.333 0.667 0.782
Eu5 0.667 0.333 0.218
Eu6 0.667 0.333 0.449
Cd1 0.000 0.000 0.000
Cd2 0.333 0.667 0.667
Cd3 0.667 0.333 0.333
H1 0.000 0.000 0.500
H2 0.333 0.667 0.167
H3 0.667 0.333 0.833

Results
offset from the most stable computed form: 0.060 eV/atom
D(E_F): 0.520 states/eV per atom
final energy: -6.264 eV/atom

Entry 3:
A plane-wave DFT calculation with GGA-PBE was carried out for a relaxed ScIn4Tc crystal.

Lattice parameters (Å, degrees): 5.727 5.727 5.727 60.00 60.00 60.00
Sites, in units of the cell vectors:
Sc1 0.000 0.000 0.000
In1 0.375 0.375 0.375
In2 0.375 0.375 0.875
In3 0.375 0.875 0.375
In4 0.875 0.375 0.375
Tc1 0.750 0.750 0.750

Results
D(E_F): 0.467 states/eV per atom
final energy: -4.206 eV/atom
energy of formation: 0.402 eV/atom

Entry 4:
A plane-wave DFT calculation with GGA-PBE was carried out for a relaxed Rb2Zn2HgSe4 crystal.

Lattice parameters (Å, degrees): 8.851 8.851 7.855 108.70 108.70 26.84
Sites, in units of the cell vectors:
Rb1 0.125 0.125 0.028
Rb2 0.875 0.875 0.972
Zn1 0.324 0.324 0.511
Zn2 0.676 0.676 0.489
Hg1 0.000 0.000 0.500
Se1 0.219 0.219 0.685
Se2 0.468 0.468 0.713
Se3 0.532 0.532 0.287
Se4 0.781 0.781 0.315

Results
uncorrected formation energy: -0.764 eV/atom
final energy: -2.844 eV/atom

Entry 5:
A plane-wave DFT calculation with GGA-PBE was carried out for a relaxed DyScAg2S4 crystal.

Lattice parameters (Å, degrees): 6.784 3.904 6.843 90.00 113.43 90.00
Sites, in units of the cell vectors:
Dy1 0.000 0.000 0.000
Sc1 0.500 0.500 0.000
Ag1 0.000 0.500 0.500
Ag2 0.500 0.000 0.500
S1 0.252 0.000 0.770
S2 0.273 0.500 0.231
S3 0.727 0.500 0.769
S4 0.748 0.000 0.230

Results
uncorrected formation energy: -1.214 eV/atom
final energy: -5.357 eV/atom

Entry 6:
A plane-wave DFT calculation with GGA-PBE was carried out for a relaxed CaAgOs2 crystal.

Lattice parameters (Å, degrees): 6.539 6.539 6.539 90.00 90.00 90.00
Sites, in units of the cell vectors:
Ca1 0.000 0.000 0.000
Ca2 0.000 0.500 0.500
Ca3 0.500 0.000 0.500
Ca4 0.500 0.500 0.000
Ag1 0.000 0.000 0.500
Ag2 0.000 0.500 0.000
Ag3 0.500 0.000 0.000
Ag4 0.500 0.500 0.500
Os1 0.250 0.250 0.250
Os2 0.250 0.250 0.750
Os3 0.250 0.750 0.250
Os4 0.250 0.750 0.750
Os5 0.750 0.250 0.250
Os6 0.750 0.250 0.750
Os7 0.750 0.750 0.250
Os8 0.750 0.750 0.750

Results
offset from the most stable computed form: 0.905 eV/atom
D(E_F): 1.925 states/eV per atom
final energy: -5.594 eV/atom
energy of formation: 1.234 eV/atom

> Among the records above, which one has the lowest final energy?

Eu2CdH

> final energy of number 2 (Eu2CdH)?

-6.264 eV/atom

> The lowest final energy belongs to which entry?

Eu2CdH

> The highest final energy belongs to which entry?

Rb2Zn2HgSe4